A PBEsol-optimized structure of HfAsNF2. Source: Alexandria via LeMat-Bulk, functional meta-GGA SCAN.

Cell and atoms, written as POSCAR:
```
HfAsNF2
1.0
4.050 0.000 0.000
0.000 4.050 0.000
0.000 0.000 4.301
Hf As N F
1 1 1 2
direct
0.000 0.000 0.000
0.500 0.500 0.500
0.000 0.000 0.500
0.000 0.500 0.000
0.500 0.000 0.000
```

Output
V: 14.11 Å³ per atom
E_form (uncorrected): -1.55 eV per atom
space group: P4/mmm, No. 123